Entry 1:
Tb2Dy: optimized geometry, PBE.

Lattice parameters (Å, degrees): 8.8297 8.8297 8.8297 60.00 60.00 60.00
Closest atoms and distances in Å follow each position.
Positions (direct):
Tb1 0.6250 0.1250 0.6250  2 Dy 2.70
Tb2 0.1250 0.6250 0.6250  2 Dy 2.70
Tb3 0.6250 0.6250 0.6250  2 Dy 2.70
Tb4 0.6250 0.6250 0.1250  2 Dy 2.70
Dy1 0.7500 0.7500 0.7500  4 Tb 2.70
Dy2 0.5000 0.5000 0.5000  4 Tb 2.70

Values from the calculation:
energy relative to the lowest polymorph listed for this composition: 2321 meV per atom

Entry 2:
TbTmAsO: optimized geometry, PBE.

Lattice parameters (Å, degrees): 4.0988 7.6948 5.7407 90.00 90.00 90.00
Closest atoms and distances in Å follow each position.
Positions (direct):
As1 0.0000 0.3527 0.4318  2 Tb 2.75, 3 Tm 2.79-2.96
As2 0.0000 0.6473 0.9318  2 Tb 2.75, 3 Tm 2.79-2.96
Tm1 0.0000 0.7156 0.4396  2 O 2.24
Tm2 0.0000 0.2844 0.9396  2 O 2.24
O1 0.5000 0.1736 0.8863  2 Tm 2.24, 2 Tb 2.28-2.34
O2 0.5000 0.8264 0.3863  2 Tm 2.24, 2 Tb 2.28-2.34
Tb1 0.5000 0.8808 0.9963  2 O 2.28-2.34
Tb2 0.5000 0.1192 0.4963  2 O 2.28-2.34

Values from the calculation:
energy relative to the lowest polymorph listed for this composition: 33 meV per atom

Entry 3:
LiSmPu: optimized geometry, PBE.

Lattice parameters (Å, degrees): 4.9337 4.9337 4.9337 60.00 60.00 60.00
Closest atoms and distances in Å follow each position.
Positions (direct):
Pu1 0.2500 0.2500 0.2500  4 Li 3.02
Sm1 0.7500 0.7500 0.7500  4 Li 3.02
Li1 0.0000 0.0000 0.0000  4 Pu 3.02, 4 Sm 3.02

Values from the calculation:
energy relative to the lowest polymorph listed for this composition: 0 meV per atom

What did the second record say?
TbTmAsO: optimized geometry, PBE.

Lattice parameters (Å, degrees): 4.0988 7.6948 5.7407 90.00 90.00 90.00
Closest atoms and distances in Å follow each position.
Positions (direct):
As1 0.0000 0.3527 0.4318  2 Tb 2.75, 3 Tm 2.79-2.96
As2 0.0000 0.6473 0.9318  2 Tb 2.75, 3 Tm 2.79-2.96
Tm1 0.0000 0.7156 0.4396  2 O 2.24
Tm2 0.0000 0.2844 0.9396  2 O 2.24
O1 0.5000 0.1736 0.8863  2 Tm 2.24, 2 Tb 2.28-2.34
O2 0.5000 0.8264 0.3863  2 Tm 2.24, 2 Tb 2.28-2.34
Tb1 0.5000 0.8808 0.9963  2 O 2.28-2.34
Tb2 0.5000 0.1192 0.4963  2 O 2.28-2.34

Values from the calculation:
energy relative to the lowest polymorph listed for this composition: 33 meV per atom